--- w ---
Below is a relaxed structure of HgB2F8, with properties calculated at the PBE level.

Unit cell a=6.6852 b=6.7442 c=9.0600 alpha=76.76 beta=68.35 gamma=60.29
Last column: nearest neighbours and their distance in Å.
Atoms (fractional coordinates):
F: 0.7250 0.8537 0.0509  1 B 1.44
F: 0.0411 0.3654 0.1712  1 B 1.40
F: 0.2971 0.5085 0.3062  1 B 1.42
F: 0.8701 0.2595 0.0393  1 B 1.42
F: 0.3704 0.3537 0.5509  1 B 1.44
F: 0.5777 0.1346 0.3288  1 B 1.40
F: 0.8882 0.0085 0.8062  1 B 1.42
F: 0.1688 0.2405 0.4607  1 B 1.42
F: 0.1299 0.7405 0.9607  1 B 1.42
F: 0.1118 0.9915 0.1938  1 B 1.42
F: 0.4223 0.8654 0.6712  1 B 1.40
F: 0.8312 0.7595 0.5393  1 B 1.42
F: 0.6296 0.6463 0.4491  1 B 1.44
F: 0.9589 0.6346 0.8288  1 B 1.40
F: 0.2750 0.1463 0.9491  1 B 1.44
F: 0.7029 0.4915 0.6938  1 B 1.42
B: 0.3568 0.3072 0.4086  4 F 1.40-1.44
B: 0.6432 0.6928 0.5914  4 F 1.40-1.44
B: 0.9274 0.8072 0.9086  4 F 1.40-1.44
B: 0.0726 0.1928 0.0914  4 F 1.40-1.44
Hg: 0.9214 0.7500 0.2500  8 F 2.39-2.50
Hg: 0.0786 0.2500 0.7500  8 F 2.39-2.50

Computed properties:
DOS at the Fermi energy, states/eV/cell: 0.00

---

--- x ---
Below is a relaxed structure of HgB2F8, with properties calculated at the PBE level.

Unit cell a=5.6450 b=5.5085 c=5.5085 alpha=58.21 beta=75.27 gamma=75.27
Last column: nearest neighbours and their distance in Å.
Atoms (fractional coordinates):
F: 0.7717 0.0775 0.6548  1 B 1.45
F: 0.4287 0.8340 0.8340  1 B 1.41
F: 0.5713 0.1660 0.1660  1 B 1.41
F: 0.2040 0.3500 0.3500  1 B 1.38
F: 0.7960 0.6500 0.6500  1 B 1.38
F: 0.2283 0.3452 0.9225  1 B 1.45
F: 0.7717 0.6548 0.0775  1 B 1.45
F: 0.2283 0.9225 0.3452  1 B 1.45
B: 0.3110 0.2014 0.2014  4 F 1.38-1.45
B: 0.6890 0.7986 0.7986  4 F 1.38-1.45
Hg: 0.0000 0.0000 0.0000  6 F 2.36-2.48

Computed properties:
DOS at the Fermi energy, states/eV/cell: 0.00

---

Which is most stable? The ranking, best first, is w, x.